BaMnCo2N after structural relaxation. Source: Alexandria, functional PBE-GGA.

electronic total energy	-3.615	eV per atom
space-group type	No. 123
formation energy without anion corrections	15.56	eV per formula unit

Lattice parameters (Å, degrees): 4.8378 5.5507 4.8378 90.00 90.00 90.00
Closest atoms and distances in Å follow each position.
Atoms (fractional coordinates):
N1 0.5000 0.5000 0.5000  4 Mn 3.42, 8 Co 3.68
Ba1 0.0000 0.0000 0.0000  4 Co 2.42
Mn1 0.0000 0.5000 0.0000  2 Ba 2.78
Co1 0.0000 0.0000 0.5000  2 Ba 2.42
Co2 0.5000 0.0000 0.0000  2 Ba 2.42